[1]
A relaxed structure of SiAsIr3. Source: Alexandria, functional PBE.

Values from the calculation:
**Total energy**: -6.09 eV per atom
**Relative energy among the computed polymorphs**: 2.29 eV/f.u.

Cell: 4.584 4.584 4.584 Å, 90.00 90.00 90.00°
Fractional positions:
1 As 0.000 0.000 0.000
2 Ir 0.000 0.000 0.500
3 Ir 0.000 0.500 0.000
4 Ir 0.500 0.000 0.000
5 Si 0.500 0.500 0.500

***

[2]
A relaxed structure of Dy2C. Source: Alexandria, functional PBE.

Values from the calculation:
**Energy of formation from the pure elements**: -0.259 eV/atom
**Total energy**: -6.40 eV per atom

Cell: 3.565 7.196 8.845 Å, 108.66 90.00 104.34°
Fractional positions:
1 C 0.000 0.000 0.000
2 C 0.333 0.667 0.667
3 C 0.667 0.333 0.333
4 Dy 0.705 0.411 0.626
5 Dy 0.372 0.744 0.960
6 Dy 0.039 0.077 0.293
7 Dy 0.628 0.256 0.040
8 Dy 0.295 0.589 0.374
9 Dy 0.961 0.923 0.707